! NbV2H8, optimized geometry, DFT PBE-GGA; values from VASP
! Electronic total energy (eV/atom): -5.03
! Size of the total moment (μB per atom): 0.00
&SYSTEM
  ibrav = 0, nat = 11, ntyp = 3
/
ATOMIC_SPECIES
Nb 92.91 Nb.upf
V 50.94 V.upf
H 1.01 H.upf
ATOMIC_POSITIONS crystal
Nb 0.5000 0.0000 0.0000
V 0.1769 0.6769 0.3538
V 0.8231 0.3231 0.6462
H 0.6648 0.8900 0.3296
H 0.3352 0.5604 0.6704
H 0.1599 0.1599 0.3198
H 0.0000 0.2988 0.0000
H 0.8401 0.8401 0.6802
H 0.6648 0.4396 0.3296
H 0.3352 0.1100 0.6704
H 0.0000 0.7012 0.0000
CELL_PARAMETERS angstrom
-2.0970 -2.1856 -0.6173
2.9059 -2.0639 -2.5643
1.0873 -0.3455 5.2693


! GaTe2PN, optimized geometry, DFT PBE-GGA; values from VASP
! Formation energy from raw total energies (eV per formula unit): 4.64
! Size of the total moment (μB per atom): 0.05
&SYSTEM
  ibrav = 0, nat = 5, ntyp = 4
/
ATOMIC_SPECIES
P 30.97 P.upf
Te 127.60 Te.upf
Ga 69.72 Ga.upf
N 14.01 N.upf
ATOMIC_POSITIONS crystal
P 0.5000 0.5000 0.5000
Te 0.0000 0.5000 0.0000
Te 0.5000 0.0000 0.0000
Ga 0.0000 0.0000 0.0000
N 0.0000 0.0000 0.5000
CELL_PARAMETERS angstrom
5.5387 0.0000 0.0000
0.0000 5.5387 0.0000
0.0000 0.0000 3.5733


! HoZnGaCu2, optimized geometry, DFT PBE-GGA; values from VASP
! Energy relative to the elements (meV/atom): -304
! Size of the total moment (μB per atom): 0.00
&SYSTEM
  ibrav = 0, nat = 5, ntyp = 4
/
ATOMIC_SPECIES
Ho 164.93 Ho.upf
Zn 65.41 Zn.upf
Ga 69.72 Ga.upf
Cu 63.55 Cu.upf
ATOMIC_POSITIONS crystal
Ho 0.4506 0.4506 0.9013
Zn 0.1859 0.6859 0.3718
Ga 0.8329 0.8329 0.6658
Cu 0.6926 0.1926 0.3852
Cu 0.0501 0.0501 0.1002
CELL_PARAMETERS angstrom
3.9271 0.0000 0.0000
0.0000 3.9303 0.0000
-1.9635 -1.9651 5.5398


! KLiPt, optimized geometry, DFT PBE-GGA; values from VASP
! Energy relative to the elements (meV/atom): -176
! Size of the total moment (μB per atom): 0.00
&SYSTEM
  ibrav = 0, nat = 3, ntyp = 3
/
ATOMIC_SPECIES
K 39.10 K.upf
Li 6.94 Li.upf
Pt 195.08 Pt.upf
ATOMIC_POSITIONS crystal
K 0.0089 0.0089 0.0000
Li 0.2730 0.2730 0.0000
Pt 0.7182 0.7182 0.0000
CELL_PARAMETERS angstrom
6.1855 0.0060 -0.0219
4.1459 4.5904 0.0219
-4.8299 -3.0531 2.3689


! HfZr3Bi2, optimized geometry, DFT PBE-GGA; values from VASP
! Energy relative to the elements (meV/atom): -234
! Size of the total moment (μB per atom): 0.00
&SYSTEM
  ibrav = 0, nat = 12, ntyp = 3
/
ATOMIC_SPECIES
Hf 178.49 Hf.upf
Zr 91.22 Zr.upf
Bi 208.98 Bi.upf
ATOMIC_POSITIONS crystal
Hf 0.0000 0.5000 0.0000
Hf 0.0000 0.0000 0.0000
Zr 0.5000 0.2500 0.0000
Zr 0.5000 0.7500 0.0000
Zr 0.8280 0.0780 0.6560
Zr 0.1720 0.4220 0.3440
Zr 0.1720 0.9220 0.3440
Zr 0.8280 0.5780 0.6560
Bi 0.3424 0.3425 0.6850
Bi 0.6574 0.1575 0.3150
Bi 0.3426 0.8425 0.6850
Bi 0.6576 0.6575 0.3150
CELL_PARAMETERS angstrom
4.8845 0.0000 0.0000
0.0000 8.0367 0.0000
-2.4423 -4.0184 7.1564


! HoZrTlAg, optimized geometry, DFT PBE-GGA; values from VASP
! Energy relative to the elements (meV/atom): -129
! Size of the total moment (μB per atom): 0.23
&SYSTEM
  ibrav = 0, nat = 4, ntyp = 4
/
ATOMIC_SPECIES
Zr 91.22 Zr.upf
Tl 204.38 Tl.upf
Ho 164.93 Ho.upf
Ag 107.87 Ag.upf
ATOMIC_POSITIONS crystal
Zr 0.5000 0.5000 0.5000
Tl 0.7500 0.7500 0.7500
Ho 0.0000 0.0000 0.0000
Ag 0.2500 0.2500 0.2500
CELL_PARAMETERS angstrom
-1.4364 0.1794 -4.8937
-4.5765 -1.7853 -1.3831
-3.6642 3.2352 -1.4669


! CePaH, optimized geometry, DFT PBE-GGA; values from VASP
! Electronic total energy (eV/atom): -6.14
! Size of the total moment (μB per atom): 0.00
&SYSTEM
  ibrav = 0, nat = 3, ntyp = 3
/
ATOMIC_SPECIES
H 1.01 H.upf
Pa 231.04 Pa.upf
Ce 140.12 Ce.upf
ATOMIC_POSITIONS crystal
H 0.3333 0.6667 0.6469
Pa 0.6667 0.3333 0.3755
Ce 0.0000 0.0000 0.9776
CELL_PARAMETERS angstrom
3.8761 0.0000 0.0000
-1.9381 3.3568 0.0000
0.0000 0.0000 4.0814


! KCrTcN3, optimized geometry, DFT PBE-GGA; values from VASP
! Formation energy from raw total energies (eV per formula unit): -0.75
! Size of the total moment (μB per atom): 0.11
&SYSTEM
  ibrav = 0, nat = 12, ntyp = 4
/
ATOMIC_SPECIES
K 39.10 K.upf
Cr 52.00 Cr.upf
Tc 98.00 Tc.upf
N 14.01 N.upf
ATOMIC_POSITIONS crystal
K 0.2500 0.2483 0.5035
K 0.7500 0.7517 0.4965
Cr 0.7500 0.0670 0.8660
Cr 0.2500 0.9330 0.1340
Tc 0.2500 0.5691 0.8618
Tc 0.7500 0.4309 0.1382
N 0.4986 0.7762 0.9608
N 0.0014 0.2630 0.9608
N 0.7500 0.2439 0.5121
N 0.5014 0.2238 0.0392
N 0.9986 0.7370 0.0392
N 0.2500 0.7561 0.4879
CELL_PARAMETERS angstrom
5.5068 -0.1031 0.0000
1.0058 5.3733 0.0000
0.5029 2.6866 4.9967